[1]
Compound: Nd3P2N
Source: Alexandria via LeMat-Bulk
Functional: PBE
Structure: optimized geometry

Values from the calculation:
Spin magnetization = 0.0 μB per formula unit
Formation energy (no corrections) = -8.166 eV/f.u.
DOS at the Fermi energy = 0.1439 states/eV per atom
Uncorrected energy = -41.61 eV per formula unit

The structure in CIF format:
```
data_Nd3P2N
_cell_length_a 12.6660
_cell_length_b 5.8614
_cell_length_c 7.8682
_cell_angle_alpha 90.00
_cell_angle_beta 108.18
_cell_angle_gamma 90.00
_symmetry_space_group_name_H-M 'C 1 2/c 1'
_symmetry_Int_Tables_number 15
loop_
_symmetry_equiv_pos_as_xyz
'x,y,z'
'-x,-y,-z'
'-x,y,-z+1/2'
'x,-y,z+1/2'
'x+1/2,y+1/2,z'
'-x+1/2,-y+1/2,-z'
'-x+1/2,y+1/2,-z+1/2'
'x+1/2,-y+1/2,z+1/2'
loop_
_atom_site_label
_atom_site_fract_x
_atom_site_fract_y
_atom_site_fract_z
Nd1 0.0000 0.0441 0.2500
Nd2 0.1492 0.4989 0.5749
P1 0.1718 0.0044 0.0854
N1 0.0000 0.4493 0.2500
```



[2]
Compound: ErFe10B2
Source: Alexandria via LeMat-Bulk
Functional: PBE
Structure: optimized geometry

Values from the calculation:
Spin magnetization = 19.6 μB per formula unit
DOS at the Fermi energy = 0.9541 states/eV per atom
Uncorrected energy = -103.38 eV per formula unit

The structure in CIF format:
```
data_ErFe10B2
_cell_length_a 8.1418
_cell_length_b 9.1677
_cell_length_c 7.8690
_cell_angle_alpha 90.00
_cell_angle_beta 90.00
_cell_angle_gamma 90.00
_symmetry_space_group_name_H-M 'C m c m'
_symmetry_Int_Tables_number 63
_symmetry_space_group_name_Hall '-C 2c 2'
loop_
_atom_site_label
_atom_site_fract_x
_atom_site_fract_y
_atom_site_fract_z
Er1 0.0000 0.1156 0.2500
Fe1 0.0000 0.1658 0.5937
Fe2 0.0000 0.3868 0.0740
Fe3 0.1430 0.3850 0.7500
Fe4 0.2322 0.0000 0.0000
Fe5 0.2423 0.3545 0.2500
B1 0.2500 0.2500 0.0000
```



[3]
Compound: LiCa4Sc
Source: Alexandria via LeMat-Bulk
Functional: PBE
Structure: optimized geometry

Values from the calculation:
Spin magnetization = 1.0 μB per formula unit
DOS at the Fermi energy = 1.5356 states/eV per atom
Uncorrected energy = -13.62 eV per formula unit

The structure in CIF format:
```
data_LiCa4Sc
_cell_length_a 9.7704
_cell_length_b 9.7704
_cell_length_c 9.7704
_cell_angle_alpha 90.00
_cell_angle_beta 90.00
_cell_angle_gamma 90.00
_symmetry_space_group_name_H-M 'F -4 3 m'
_symmetry_Int_Tables_number 216
_symmetry_space_group_name_Hall 'F -4 2 3'
loop_
_atom_site_label
_atom_site_fract_x
_atom_site_fract_y
_atom_site_fract_z
Li1 0.0000 0.0000 0.0000
Ca1 0.1243 0.1243 0.3757
Sc1 0.2500 0.2500 0.7500
```



[4]
Compound: LaHfSe4
Source: Alexandria via LeMat-Bulk
Functional: PBE
Structure: optimized geometry

Values from the calculation:
Spin magnetization = 0.0 μB per formula unit
Formation energy (no corrections) = -7.634 eV/f.u.
DOS at the Fermi energy = 0.6231 states/eV per atom
Uncorrected energy = -36.45 eV per formula unit

The structure in CIF format:
```
data_LaHfSe4
_cell_length_a 6.7070
_cell_length_b 7.1625
_cell_length_c 6.9041
_cell_angle_alpha 90.00
_cell_angle_beta 94.56
_cell_angle_gamma 90.00
_symmetry_space_group_name_H-M 'P 1 21/c 1'
_symmetry_Int_Tables_number 14
loop_
_symmetry_equiv_pos_as_xyz
'x,y,z'
'-x,-y,-z'
'-x,y+1/2,-z+1/2'
'x,-y+1/2,z+1/2'
loop_
_atom_site_label
_atom_site_fract_x
_atom_site_fract_y
_atom_site_fract_z
La1 0.0000 0.0000 0.0000
Hf1 0.5000 0.0000 0.5000
Se1 0.1389 0.1239 0.4103
Se2 0.3775 0.6768 0.3124
```



[5]
Compound: Pr2Nd6Th
Source: Alexandria via LeMat-Bulk
Functional: PBE
Structure: optimized geometry

Values from the calculation:
Spin magnetization = 0.0 μB per formula unit
DOS at the Fermi energy = 1.7508 states/eV per atom
Uncorrected energy = -44.95 eV per formula unit

The structure in CIF format:
```
data_Pr2Nd6Th
_cell_length_a 3.6621
_cell_length_b 3.6621
_cell_length_c 27.5221
_cell_angle_alpha 90.00
_cell_angle_beta 90.00
_cell_angle_gamma 120.00
_symmetry_space_group_name_H-M 'P -6 m 2'
_symmetry_Int_Tables_number 187
_symmetry_space_group_name_Hall 'P -6 2'
loop_
_atom_site_label
_atom_site_fract_x
_atom_site_fract_y
_atom_site_fract_z
Pr1 0.0000 0.0000 0.1698
Nd1 0.0000 0.0000 0.3929
Nd2 0.6667 0.3333 0.0627
Nd3 0.6667 0.3333 0.2828
Th1 0.6667 0.3333 0.5000
```



[6]
Compound: SrGe2I6
Source: Alexandria via LeMat-Bulk
Functional: PBE
Structure: optimized geometry

Values from the calculation:
Spin magnetization = 0.0 μB per formula unit
Formation energy (no corrections) = -6.272 eV/f.u.
Uncorrected energy = -26.49 eV per formula unit

The structure in CIF format:
```
data_SrGe2I6
_cell_length_a 8.1630
_cell_length_b 8.1630
_cell_length_c 23.3325
_cell_angle_alpha 90.00
_cell_angle_beta 90.00
_cell_angle_gamma 120.00
_symmetry_space_group_name_H-M 'R 3'
_symmetry_Int_Tables_number 146
_symmetry_space_group_name_Hall 'R 3'
loop_
_atom_site_label
_atom_site_fract_x
_atom_site_fract_y
_atom_site_fract_z
Sr1 0.0000 0.0000 0.0000
Ge1 0.0000 0.0000 0.3025
Ge2 0.0000 0.0000 0.4187
I1 0.0017 0.3072 0.7357
I2 0.0654 0.7050 0.9139
```



[7]
Compound: ReAg2Pt
Source: Alexandria via LeMat-Bulk
Functional: PBE
Structure: optimized geometry

Values from the calculation:
Spin magnetization = 0.0 μB per formula unit
DOS at the Fermi energy = 0.6734 states/eV per atom
Uncorrected energy = -23.03 eV per formula unit

The structure in CIF format:
```
data_ReAg2Pt
_cell_length_a 2.7727
_cell_length_b 3.9820
_cell_length_c 6.0151
_cell_angle_alpha 90.00
_cell_angle_beta 90.00
_cell_angle_gamma 90.00
_symmetry_space_group_name_H-M 'P m m 2'
_symmetry_Int_Tables_number 25
loop_
_symmetry_equiv_pos_as_xyz
'x,y,z'
'-x,-y,z'
'-x,y,z'
'x,-y,z'
loop_
_atom_site_label
_atom_site_fract_x
_atom_site_fract_y
_atom_site_fract_z
Re1 0.0000 0.0000 0.0000
Ag1 0.0000 0.0000 0.4738
Ag2 0.5000 0.5000 0.7154
Pt1 0.5000 0.5000 0.1815
```



[8]
Compound: AcLa2Hg2
Source: Alexandria via LeMat-Bulk
Functional: PBE
Structure: optimized geometry

Values from the calculation:
Spin magnetization = 0.0 μB per formula unit
DOS at the Fermi energy = 1.2873 states/eV per atom
Uncorrected energy = -16.44 eV per formula unit

The structure in CIF format:
```
data_AcLa2Hg2
_cell_length_a 9.1301
_cell_length_b 9.1301
_cell_length_c 3.9777
_cell_angle_alpha 90.00
_cell_angle_beta 90.00
_cell_angle_gamma 90.00
_symmetry_space_group_name_H-M 'P 4/m b m'
_symmetry_Int_Tables_number 127
_symmetry_space_group_name_Hall '-P 4 2ab'
loop_
_atom_site_label
_atom_site_fract_x
_atom_site_fract_y
_atom_site_fract_z
Ac1 0.0000 0.0000 0.0000
La1 0.1622 0.3378 0.5000
Hg1 0.1323 0.6323 0.0000
```